Record 1
The following is a DFT calculation (PBE) of a relaxed SmF4 crystal.

Lattice parameters (Å, degrees): 4.0278 4.0278 13.9693 90.00 90.00 120.00
Space group R-3m (No. 166, hexagonal axes)
Asymmetric unit:
Sm1 0.0000 0.0000 0.0000 x3
F1 0.0000 0.0000 0.1689 x6
F2 0.0000 0.0000 0.3717 x6

Computed properties:
Crystal system   trigonal
ΔE_f (raw)   -3125 meV/atom
Energy above the lowest structure with this stoichiometry   0.000 eV/f.u.


Record 2
The following is a DFT calculation (PBE) of a relaxed SmF4 crystal.

Lattice parameters (Å, degrees): 4.514 4.514 4.514 90.00 90.00 90.00
Space group Pm-3m (No. 221)
Asymmetric unit:
Sm1 0.000 0.000 0.000 x1
F1 0.000 0.000 0.500 x3
F2 0.500 0.500 0.500 x1

Computed properties:
Crystal system   cubic
ΔE_f (raw)   -3042 meV/atom
Energy above the lowest structure with this stoichiometry   0.417 eV/f.u.


Record 3
The following is a DFT calculation (PBE) of a relaxed SmSnF crystal.

Lattice parameters (Å, degrees): 3.9585 3.9585 5.2926 90.00 90.00 120.00
Space group P-6m2 (No. 187)
Asymmetric unit:
Sm1 0.0000 0.0000 0.0000 x1
Sn1 0.3333 0.6667 0.5000 x1
F1 0.6667 0.3333 0.0000 x1

Computed properties:
Crystal system   hexagonal
ΔE_f (raw)   -1897 meV/atom
Energy above the lowest structure with this stoichiometry   0.267 eV/f.u.


Record 4
The following is a DFT calculation (PBE) of a relaxed SmSnF crystal.

Lattice parameters (Å, degrees): 11.734 3.722 7.380 90.00 110.54 90.00
Space group C2/m (No. 12)
Asymmetric unit:
Sm1 0.199 0.000 0.245 x4
Sn1 0.048 0.500 0.840 x4
F1 0.206 0.000 0.582 x4

Computed properties:
Crystal system   monoclinic
ΔE_f (raw)   -1986 meV/atom
Energy above the lowest structure with this stoichiometry   0.000 eV/f.u.


Record 5
The following is a DFT calculation (PBE) of a relaxed SmSnF7 crystal.

Lattice parameters (Å, degrees): 9.153 5.744 12.297 90.00 117.79 90.00
Space group P2_1/c (No. 14)
Asymmetric unit:
Sm1 0.188 0.242 0.265 x4
Sn1 0.273 0.744 0.043 x4
F1 0.027 0.740 0.947 x4
F2 0.030 0.581 0.733 x4
F3 0.256 0.544 0.171 x4
F4 0.270 0.020 0.141 x4
F5 0.283 0.045 0.455 x4
F6 0.292 0.547 0.420 x4
F7 0.482 0.231 0.360 x4

Computed properties:
Crystal system   monoclinic
ΔE_f (raw)   -3234 meV/atom


Record 6
The following is a DFT calculation (PBE) of a relaxed Sm4Sn2F crystal.

Lattice parameters (Å, degrees): 4.688 4.688 17.684 90.00 90.00 90.00
Space group I4/mmm (No. 139)
Asymmetric unit:
Sm1 0.000 0.000 0.185 x4
Sm2 0.000 0.500 0.000 x4
Sn1 0.000 0.000 0.366 x4
F1 0.000 0.000 0.000 x2

Computed properties:
Crystal system   tetragonal
ΔE_f (raw)   -1129 meV/atom